Compound: AcSc2In4
Source: Alexandria via LeMat-Bulk
Functional: GGA-PBE
Structure: optimized geometry

a = 3.6913 Å, b = 4.8602 Å, c = 20.8361 Å
α = 90.00°, β = 90.00°, γ = 90.00°
Space group Immm (No. 71)
One atom of each set of equivalent atoms:
Ac 0.0000 0.0000 0.0000
Sc 0.0000 0.5000 0.1972
In 0.0000 0.0000 0.4234
In 0.0000 0.5000 0.3391

Summary:
As for the total energy: -60.4 eV/cell. The formation energy is -0.35 eV/atom. Its crystal system is orthorhombic.